Record 1
{
  "formula": "La4AlTlZn2",
  "functional": "PBE",
  "state": "relaxed",
  "cell": [[-4.090, 3.553, -0.146], [-4.559, -1.224, -2.663], [-6.257, -2.803, 6.485]],
  "species": ["Tl", "Zn", "Zn", "La", "La", "La", "La", "Al"],
  "fractional_positions": [[0.000, 0.000, 0.000], [0.250, 0.250, 0.251], [0.750, 0.750, 0.749], [0.129, 0.129, 0.613], [0.871, 0.871, 0.387], [0.379, 0.379, 0.863], [0.621, 0.621, 0.137], [0.500, 0.500, 0.500]],
  "magnetic_moment_mub_per_atom": 0.000,
  "energy_ev_per_atom": -3.894
}



Record 2
{
  "formula": "BaZr2Pb",
  "functional": "PBE",
  "state": "relaxed",
  "cell": [[-6.511, 8.503, -3.038], [-5.293, 7.629, -6.140], [-8.034, 5.994, -4.843]],
  "species": ["Pb", "Zr", "Zr", "Ba"],
  "fractional_positions": [[0.750, 0.750, 0.750], [0.492, 0.492, 0.492], [0.008, 0.008, 0.008], [0.250, 0.250, 0.250]],
  "magnetic_moment_mub_per_atom": 0.000,
  "energy_ev_per_atom": -5.307
}



Record 3
{
  "formula": "NiRuAu2",
  "functional": "PBE",
  "state": "relaxed",
  "cell": [[-1.420, 1.603, 1.815], [0.189, -2.025, 1.935], [6.714, 3.062, 2.549]],
  "species": ["Au", "Au", "Ni", "Ru"],
  "fractional_positions": [[0.000, 0.000, 0.014], [0.000, 0.000, 0.486], [0.500, 0.500, 0.250], [0.500, 0.500, 0.750]],
  "magnetic_moment_mub_per_atom": 0.565,
  "polymorph_energy_mev_per_atom": 122
}



Record 4
{
  "formula": "LaPt6",
  "functional": "PBE",
  "state": "relaxed",
  "cell": [[5.462, 0.000, 0.000], [0.000, 8.859, 0.000], [0.000, 0.000, 10.684]],
  "species": ["Pt", "Pt", "Pt", "Pt", "Pt", "Pt", "Pt", "Pt", "Pt", "Pt", "Pt", "Pt", "Pt", "Pt", "Pt", "Pt", "Pt", "Pt", "Pt", "Pt", "Pt", "Pt", "Pt", "Pt", "La", "La", "La", "La"],
  "fractional_positions": [[0.750, 0.932, 0.078], [0.750, 0.612, 0.020], [0.250, 0.323, 0.726], [0.250, 0.162, 0.162], [0.250, 0.888, 0.520], [0.750, 0.177, 0.226], [0.250, 0.662, 0.338], [0.995, 0.566, 0.802], [0.750, 0.677, 0.274], [0.505, 0.566, 0.802], [0.250, 0.823, 0.774], [0.750, 0.838, 0.838], [0.250, 0.068, 0.922], [0.750, 0.112, 0.480], [0.005, 0.934, 0.302], [0.750, 0.338, 0.662], [0.495, 0.434, 0.198], [0.250, 0.568, 0.578], [0.750, 0.432, 0.422], [0.495, 0.934, 0.302], [0.250, 0.388, 0.980], [0.005, 0.434, 0.198], [0.995, 0.066, 0.698], [0.505, 0.066, 0.698], [0.250, 0.257, 0.443], [0.750, 0.243, 0.943], [0.750, 0.743, 0.557], [0.250, 0.757, 0.057]],
  "magnetic_moment_mub_per_atom": 0.000,
  "polymorph_energy_mev_per_atom": 0
}